Arrangement i

Here is a geometry-optimized Cu2SbP structure from Alexandria via LeMat-Bulk. Energies are from PBE.

Values from the calculation:
M_tot ... 0.00 μB per cell
Space group ... No. 65

Cell lengths 3.0491, 3.0491, 7.2492 Å; angles 90.00, 90.00, 97.20 degrees
Atoms (fractional coordinates):
Cu: 0.0000 0.0000 0.4414
P: 0.5000 0.5000 0.2500
Sb: 0.5000 0.5000 0.7500
Cu: 0.0000 0.0000 0.0586

***

Arrangement ii

Here is a geometry-optimized Cu2SbP structure from Alexandria via LeMat-Bulk. Energies are from PBE.

Values from the calculation:
M_tot ... 0.00 μB per cell
Space group ... No. 160

Cell lengths 5.8434, 5.8434, 5.8434 Å; angles 38.73, 38.73, 38.73 degrees
Atoms (fractional coordinates):
Cu: 0.0310 0.0310 0.0310
Cu: 0.8038 0.8038 0.8038
P: 0.4143 0.4143 0.4143
Sb: 0.2509 0.2509 0.2509

***

Arrangement iii

Here is a geometry-optimized Cu2SbP structure from Alexandria via LeMat-Bulk. Energies are from PBE.

Values from the calculation:
M_tot ... 0.00 μB per cell
Space group ... No. 216

Cell lengths 4.5766, 4.5766, 4.5766 Å; angles 60.00, 60.00, 60.00 degrees
Atoms (fractional coordinates):
Sb: 0.7500 0.7500 0.7500
Cu: 0.2500 0.2500 0.2500
P: 0.5000 0.5000 0.5000
Cu: 0.0000 0.0000 0.0000

***

It is arrangement ii that is most stable; the runner-up trails by 19.3 kJ/mol of atoms.